[1]
Below is Sm2InAu6 after structural relaxation, with properties calculated at the GGA-PBE level.

The calculation puts the formation enthalpy at 0 K at -578 meV/atom. The calculation puts the size of the total moment at 0.00 μB per formula unit. The value obtained for the energy above the most stable polymorph in this dataset is 0.006 eV/atom.

POSCAR file:
```
Sm2InAu6
1.0
-3.7759 -1.1055 -3.7953
3.0597 -5.5541 -1.4235
-1.5636 -5.4651 3.1502
Sm Au In
2 6 1
Cartesian
-0.1508 -3.8634 -0.0773
-2.1290 -8.2613 -1.9914
-1.3337 -6.8777 0.8067
-0.9461 -5.2469 -2.8754
-2.9667 -5.2080 -0.8764
-2.2814 -2.8159 -2.2514
0.0016 -9.3087 0.1827
0.6869 -6.9166 -1.1922
0.0000 0.0000 0.0000
```


[2]
Below is Mg2ZnCu after structural relaxation, with properties calculated at the GGA-PBE level.

The calculation puts the formation enthalpy at 0 K at 64 meV/atom. The calculation puts the size of the total moment at 0.00 μB per formula unit.

POSCAR file:
```
Mg2ZnCu
1.0
-7.5631 -5.3523 -0.7087
-6.9998 -5.7077 2.1851
-8.5702 -3.3654 1.2549
Mg Cu Zn
2 1 1
Cartesian
-22.9976 -14.3409 2.7153
-11.7020 -7.2972 1.3816
-5.7833 -3.6063 0.6828
-17.3498 -10.8190 2.0484
```


[3]
Below is Tl3Bi after structural relaxation, with properties calculated at the GGA-PBE level.

The calculation puts the formation enthalpy at 0 K at 2 meV/atom. The calculation puts the size of the total moment at 0.00 μB per formula unit. The value obtained for the energy above the most stable polymorph in this dataset is 0.037 eV/atom.

POSCAR file:
```
Tl3Bi
1.0
3.5202 0.0000 0.0000
0.0000 6.2055 0.0000
-1.7601 -3.1027 5.8350
Bi Tl
1 3
Cartesian
0.0000 6.0839 0.0000
1.7601 2.9796 0.0000
1.7601 -0.9119 2.8344
0.0000 2.1908 3.0006
```


[4]
Below is PmCuMo after structural relaxation, with properties calculated at the GGA-PBE level.

The calculation puts the formation enthalpy at 0 K at 200 meV/atom. The calculation puts the size of the total moment at 0.00 μB per formula unit.

POSCAR file:
```
PmCuMo
1.0
5.0628 1.8289 0.3259
1.8042 5.0717 0.3259
-3.4850 -3.5020 5.1537
Pm Cu Mo
2 2 2
Cartesian
2.7242 2.7374 4.0440
0.6579 0.6611 1.7615
5.5090 5.5358 2.1006
-2.1269 -2.1373 3.7049
0.7216 0.7251 5.1892
2.6605 2.6734 0.6163
```


[5]
Below is VReSN2 after structural relaxation, with properties calculated at the GGA-PBE level.

The raw formation energy is 0.96 eV per atom. The calculation puts the size of the total moment at 3.09 μB per formula unit. The value obtained for the energy above the most stable polymorph in this dataset is 0.309 eV/atom.

POSCAR file:
```
VReSN2
1.0
3.7141 0.0000 0.0000
0.0000 3.7141 0.0000
0.0000 0.0000 4.9101
S V Re N
1 1 1 2
Cartesian
0.0000 0.0000 2.4550
0.0000 0.0000 0.0000
1.8571 1.8571 2.4550
1.8571 0.0000 0.0000
0.0000 1.8571 0.0000
```


[6]
Below is BaSrBr2 after structural relaxation, with properties calculated at the GGA-PBE level.

The raw formation energy is -1.48 eV per atom. The calculation puts the size of the total moment at 0.00 μB per formula unit. The value obtained for the energy above the most stable polymorph in this dataset is 0.016 eV/atom.

POSCAR file:
```
BaSrBr2
1.0
-3.3067 2.4567 -9.8821
-1.3561 -1.1796 -10.5544
-3.5920 -2.0521 0.6772
Ba Br Sr
1 2 1
Cartesian
-1.4182 0.0137 -4.1889
-5.8752 -0.2800 -15.5324
-4.9929 0.9812 -19.7940
-4.7587 -0.6004 -10.5603
```


[7]
Below is Ca2BiH after structural relaxation, with properties calculated at the GGA-PBE level.

The calculation puts the size of the total moment at 0.00 μB per formula unit. The value obtained for the energy above the most stable polymorph in this dataset is 0.011 eV/atom.

POSCAR file:
```
Ca2BiH
1.0
-0.6199 1.2156 4.0747
-6.7766 1.3854 -1.4442
-1.7221 -6.6343 1.7173
Ca H Bi
4 2 2
Cartesian
-5.8232 -0.0111 1.3853
-3.2954 -4.0220 2.9625
-6.6839 -3.3288 2.2421
-2.4346 -0.7044 2.1056
-1.1710 -2.7093 2.8960
-3.6983 1.3005 1.3152
0.0000 0.0000 0.0000
-4.2493 -2.6244 0.1365
```


[8]
Below is Sm6Rh2N after structural relaxation, with properties calculated at the GGA-PBE level.

The raw formation energy is -0.71 eV per atom. The calculation puts the size of the total moment at 0.00 μB per formula unit.

POSCAR file:
```
Sm6Rh2N
1.0
-1.9106 5.5296 2.9213
-4.0755 1.6058 -5.7051
-7.5569 -4.5543 4.1165
Sm N Rh
12 2 4
Cartesian
-5.3425 2.0830 2.8522
-8.8097 -2.7052 2.5483
-8.2005 0.4981 -1.5195
-4.7381 1.8552 -0.9996
-7.7036 3.6911 0.2785
-11.1750 3.0139 0.1351
-4.7333 5.2863 -1.2156
-5.8393 -1.1100 1.0542
-2.5329 3.7416 1.1331
-8.8049 0.7260 2.3323
-11.0101 -1.1605 0.1996
-2.3680 -0.4328 1.1976
-3.7784 -2.2772 2.0583
-2.9930 3.5677 -1.3919
-6.6251 3.3029 -2.5059
-8.2196 -2.2231 -0.1883
-5.3234 4.8042 1.5210
-6.9179 -0.7218 3.8385
```